[1]
This record from Alexandria describes crystalline Ac5In2Rh at its relaxed geometry. The functional is PBE.

Geometry as POSCAR:
```
Ac5In2Rh
1.0
8.8193 0.0000 0.0000
0.0000 13.0700 0.0000
0.0000 0.0000 5.0461
Ac In Rh
10 4 2
direct
0.0000 0.0000 0.0000
0.1374 0.2989 0.0000
0.1831 0.5713 0.5000
0.3169 0.0713 0.5000
0.3626 0.7989 0.0000
0.5000 0.5000 0.0000
0.6374 0.2011 0.0000
0.6831 0.9287 0.5000
0.8169 0.4287 0.5000
0.8626 0.7011 0.0000
0.0753 0.8315 0.5000
0.4247 0.3315 0.5000
0.5753 0.6685 0.5000
0.9247 0.1685 0.5000
0.0000 0.5000 0.0000
0.5000 0.0000 0.0000
```

Its formation energy is -40.8 kJ per mole of atoms. Its symmetry is No. 55. The energy relative to the lowest polymorph listed for this composition comes out at 0.000 eV/atom.

[2]
This record from Alexandria describes crystalline Pm4HoP5 at its relaxed geometry. The functional is PBE.

Geometry as POSCAR:
```
Pm4HoP5
1.0
-4.5883 4.5883 2.9031
4.5883 -4.5883 2.9031
4.5883 4.5883 -2.9031
Pm Ho P
4 1 5
direct
0.0990 0.7003 0.7993
0.2997 0.0990 0.3987
0.7003 0.9010 0.6013
0.9010 0.2997 0.2007
0.5000 0.5000 0.0000
0.0000 0.0000 0.0000
0.2044 0.4015 0.6059
0.4015 0.7956 0.1971
0.5985 0.2044 0.8029
0.7956 0.5985 0.3941
```

Its formation energy is -151.3 kJ per mole of atoms. Its symmetry is No. 87.

[3]
This record from Alexandria describes crystalline ScNi2Mo at its relaxed geometry. The functional is PBE.

Geometry as POSCAR:
```
ScNi2Mo
1.0
2.7978 -3.6746 0.0000
2.7978 3.6746 0.0000
0.0000 0.0000 2.7632
Sc Ni Mo
1 2 1
direct
0.0000 0.0000 0.0000
0.0000 0.5000 0.5000
0.5000 0.0000 0.5000
0.5000 0.5000 0.0000
```

Its formation energy is -9.3 kJ per mole of atoms. Its symmetry is No. 65. The energy relative to the lowest polymorph listed for this composition comes out at 0.052 eV/atom.

[4]
This record from Alexandria describes crystalline Hf3ThH at its relaxed geometry. The functional is PBE.

Geometry as POSCAR:
```
Hf3ThH
1.0
4.6229 0.0000 0.0000
0.0000 4.6229 0.0000
0.0000 0.0000 4.6229
Hf Th H
3 1 1
direct
0.0000 0.0000 0.5000
0.0000 0.5000 0.0000
0.5000 0.0000 0.0000
0.5000 0.5000 0.5000
0.0000 0.0000 0.0000
```

Its symmetry is No. 221. The total energy comes out at -40.56 eV per formula unit.

[5]
This record from Alexandria describes crystalline Cs2SeSBr6 at its relaxed geometry. The functional is PBE.

Geometry as POSCAR:
```
Cs2SeSBr6
1.0
-3.9255 3.9255 5.3806
3.9255 -3.9255 5.3806
3.9255 3.9255 -5.3806
Cs Se S Br
2 1 1 6
direct
0.2500 0.7500 0.5000
0.7500 0.2500 0.5000
0.0000 0.0000 0.0000
0.5000 0.5000 0.0000
0.2469 0.2469 0.4938
0.2469 0.7531 0.0000
0.2572 0.2572 0.0000
0.7428 0.7428 0.0000
0.7531 0.2469 0.0000
0.7531 0.7531 0.5062
```

The uncorrected formation energy comes out at -68.2 kJ/mol of atoms. Its symmetry is No. 139.

[6]
This record from Alexandria describes crystalline Ba3MgSe at its relaxed geometry. The functional is PBE.

Geometry as POSCAR:
```
Ba3MgSe
1.0
6.3431 0.0000 0.0000
0.0000 6.3431 0.0000
0.0000 0.0000 6.3431
Ba Mg Se
3 1 1
direct
0.0000 0.0000 0.5000
0.0000 0.5000 0.0000
0.5000 0.0000 0.0000
0.5000 0.5000 0.5000
0.0000 0.0000 0.0000
```

The uncorrected formation energy comes out at -63.3 kJ/mol of atoms. Its symmetry is No. 221. The energy relative to the lowest polymorph listed for this composition comes out at 0.000 eV/atom.

Number 1: theoretical density 8.38 Mg/m³. Number 2: theoretical density 6.11 Mg/m³. Number 3: theoretical density 7.55 Mg/m³. Number 4: theoretical density 12.92 Mg/m³. Number 5: theoretical density 4.29 Mg/m³. Number 6: theoretical density 3.35 Mg/m³.